The following is a PBE with a Hubbard U calculation of Sm2FeRhO6 after structural relaxation, from the Alexandria database.

Calculated values
Symmetry: P2_1/c
M_tot, μB/f.u.: 4.975
E, eV per cell: -150.6

Cell lengths 5.4137, 5.7565, 7.7788 Å; angles 90.00, 90.88, 90.00 degrees
Closest atoms and distances in Å follow each position.
Element x y z (fractional)
Sm (0.4793, 0.4294, 0.2502)  6 O 2.31-2.55
O (0.8110, 0.7971, 0.5558)  1 Fe 2.04, 1 Rh 2.09
Sm (0.9793, 0.0706, 0.7502)  6 O 2.31-2.55
O (0.6090, 0.0357, 0.2473)  1 Fe 2.01, 1 Rh 2.07
Fe (0.0000, 0.5000, 0.5000)  6 O 2.01-2.04
O (0.8057, 0.8062, 0.9466)  1 Fe 2.04, 1 Rh 2.09
O (0.3057, 0.6938, 0.4466)  1 Fe 2.04, 1 Rh 2.09
Rh (0.0000, 0.5000, 0.0000)  6 O 2.07-2.09
Fe (0.5000, 0.0000, 0.0000)  6 O 2.01-2.04
O (0.6943, 0.3062, 0.5534)  1 Fe 2.04, 1 Rh 2.09
Sm (0.0207, 0.9294, 0.2498)  6 O 2.31-2.55
O (0.1890, 0.2029, 0.4442)  1 Fe 2.04, 1 Rh 2.09
O (0.3910, 0.9643, 0.7527)  1 Fe 2.01, 1 Rh 2.07
Sm (0.5207, 0.5706, 0.7498)  6 O 2.31-2.55
O (0.3110, 0.7029, 0.0558)  1 Fe 2.04, 1 Rh 2.09
Rh (0.5000, 0.0000, 0.5000)  6 O 2.07-2.09
O (0.1943, 0.1938, 0.0534)  1 Fe 2.04, 1 Rh 2.09
O (0.1090, 0.4643, 0.7473)  1 Fe 2.01, 1 Rh 2.07
O (0.8910, 0.5357, 0.2527)  1 Fe 2.01, 1 Rh 2.07
O (0.6890, 0.2971, 0.9442)  1 Fe 2.04, 1 Rh 2.09